Entry 1:
Density functional theory data (PBE-GGA) for a relaxed structure of Ca2Zn3Au4.

a b c (Å): 5.826 15.534 7.971
angles (deg): 90.00 90.00 90.00
Space group Cmce (No. 64)
Unique sites:
Ca: 0.000 0.112 0.088
Zn: 0.000 0.000 0.500
Zn: 0.250 0.226 0.750
Au: 0.000 0.183 0.472
Au: 0.250 0.054 0.750

Values from the calculation:
- DFT formation energy: -540 meV/atom
- ρ: 9.80 Mg/m³

Entry 2:
Density functional theory data (PBE-GGA) for a relaxed structure of Ca3Zn3Au8.

a b c (Å): 4.442 10.092 13.075
angles (deg): 90.00 90.00 90.00
Space group Immm (No. 71)
Unique sites:
Ca: 0.000 0.000 0.000
Ca: 0.000 0.000 0.293
Zn: 0.000 0.194 0.500
Zn: 0.000 0.500 0.000
Au: 0.000 0.300 0.124
Au: 0.000 0.365 0.342

Values from the calculation:
- DFT formation energy: -522 meV/atom
- ρ: 10.72 Mg/m³
- E above lowest polymorph: 35 meV/atom

What is the DFT formation energy in the first record?
-540 meV/atom

What did the second record say?
Density functional theory data (PBE-GGA) for a relaxed structure of Ca3Zn3Au8.

a b c (Å): 4.442 10.092 13.075
angles (deg): 90.00 90.00 90.00
Space group Immm (No. 71)
Unique sites:
Ca: 0.000 0.000 0.000
Ca: 0.000 0.000 0.293
Zn: 0.000 0.194 0.500
Zn: 0.000 0.500 0.000
Au: 0.000 0.300 0.124
Au: 0.000 0.365 0.342

Values from the calculation:
- DFT formation energy: -522 meV/atom
- ρ: 10.72 Mg/m³
- E above lowest polymorph: 35 meV/atom